[1]
Ga2TcH after structural relaxation. Source: the Alexandria database, functional GGA-PBE.

Output
Total DFT energy (no corrections): -40.34 eV/cell
Crystal system: orthorhombic
Theoretical density: 7.7 Mg/m³
DOS(E_F): 0.0 states/eV per cell
Magnetic moment: 0.00 μB/cell

```
Ga2TcH
1.0
5.317 0.000 2.927
2.308 4.089 2.101
0.656 -0.091 5.101
H Tc Ga
2 2 4
direct
0.750 0.154 0.346 H
0.250 0.846 0.654 H
0.750 0.847 0.653 Tc
0.250 0.153 0.347 Tc
0.801 0.699 0.199 Ga
0.699 0.301 0.801 Ga
0.301 0.699 0.199 Ga
0.199 0.301 0.801 Ga
```

[2]
Ga2TcH2 after structural relaxation. Source: the Alexandria database, functional GGA-PBE.

Output
Total DFT energy (no corrections): -21.31 eV/cell
Crystal system: tetragonal
Theoretical density: 7.4 Mg/m³
DOS(E_F): 3.6 states/eV per cell
Magnetic moment: 0.64 μB/cell

```
Ga2TcH2
1.0
2.854 0.000 0.000
0.000 2.854 0.000
1.427 1.427 6.561
Tc H Ga
1 2 2
direct
0.000 0.000 0.000 Tc
0.750 0.250 0.500 H
0.250 0.750 0.500 H
0.362 0.362 0.275 Ga
0.638 0.638 0.725 Ga
```

[3]
Ga4TcH after structural relaxation. Source: the Alexandria database, functional GGA-PBE.

Output
Total DFT energy (no corrections): -50.94 eV/cell
Crystal system: monoclinic
Theoretical density: 6.5 Mg/m³
DOS(E_F): 4.2 states/eV per cell
Magnetic moment: 0.00 μB/cell

```
Ga4TcH
1.0
-1.952 -3.646 3.137
7.241 0.985 1.414
-3.853 5.063 1.311
Tc Ga H
2 8 2
direct
0.759 0.009 0.018 Tc
0.241 0.991 0.982 Tc
0.070 0.247 0.864 Ga
0.706 0.382 0.136 Ga
0.294 0.618 0.864 Ga
0.930 0.753 0.136 Ga
0.648 0.101 0.409 Ga
0.352 0.899 0.591 Ga
0.739 0.692 0.591 Ga
0.261 0.308 0.409 Ga
0.446 0.696 0.391 H
0.554 0.304 0.609 H
```